DFT (SCAN) results for a PBEsol-optimized structure of Ba2InPt.

Cell lengths 4.504, 6.418, 6.418 Å; angles 46.57, 90.00, 90.00 degrees
Sites, in units of the cell vectors:
Ba (0.000, 0.000, 0.000)
Ba (0.500, 0.293, 0.293)
In (0.500, 0.596, 0.596)
Pt (0.000, 0.722, 0.722)

Results
**Space group**: No. 38
**Raw total energy**: -46.33 eV per atom
**V**: 33.68 Å³/atom